{
  "formula": "CoW5",
  "functional": "GGA-PBE",
  "state": "relaxed",
  "spacegroup": "P6_3/mmc",
  "e_form_mev_per_atom": 630,
  "crystal_system": "hexagonal",
  "cell": [[5.189, 0.000, 0.000], [-2.594, 4.494, 0.000], [0.000, 0.000, 17.009]],
  "species": ["Co", "Co", "Co", "Co", "W", "W", "W", "W", "W", "W", "W", "W", "W", "W", "W", "W", "W", "W", "W", "W", "W", "W", "W", "W"],
  "frac_coords": [[0.000, 0.000, 0.094], [0.000, 0.000, 0.406], [0.000, 0.000, 0.594], [0.000, 0.000, 0.906], [0.000, 0.500, 0.000], [0.000, 0.500, 0.500], [0.163, 0.326, 0.250], [0.163, 0.837, 0.250], [0.326, 0.163, 0.750], [0.333, 0.667, 0.124], [0.333, 0.667, 0.376], [0.333, 0.667, 0.655], [0.333, 0.667, 0.845], [0.500, 0.000, 0.000], [0.500, 0.000, 0.500], [0.500, 0.500, 0.000], [0.500, 0.500, 0.500], [0.667, 0.333, 0.155], [0.667, 0.333, 0.345], [0.667, 0.333, 0.624], [0.667, 0.333, 0.876], [0.674, 0.837, 0.250], [0.837, 0.163, 0.750], [0.837, 0.674, 0.750]]
}